Np2NiO8: optimized geometry, GGA+U.

a b c (Å): 8.876 6.800 4.938
angles (deg): 90.00 104.60 90.00
Space group C2/m (No. 12)
Inequivalent atoms, fractional coordinates:
Np1 0.206 0.000 0.454 (multiplicity 4)
Ni1 0.000 0.500 0.000 (multiplicity 2)
O1 0.099 0.000 0.730 (multiplicity 4)
O2 0.134 0.294 0.294 (multiplicity 8)
O3 0.167 0.500 0.790 (multiplicity 4)

Values from the calculation:
VASP energy: -91.6 eV per formula unit